Entry 1:
ZrAg2F6: optimized geometry, PBE-GGA.

Cell lengths 5.958, 6.289, 8.790 Å; angles 90.00, 96.76, 90.00 degrees
Fractional coordinates of all 18 atoms:
F: 0.363 0.745 0.113
F: 0.863 0.755 0.613
F: 0.666 0.391 0.202
F: 0.137 0.245 0.387
Ag: 0.953 0.434 0.760
F: 0.773 0.677 0.957
Zr: 0.000 0.000 0.500
F: 0.166 0.109 0.702
F: 0.273 0.823 0.457
Zr: 0.500 0.500 0.000
F: 0.227 0.323 0.043
Ag: 0.453 0.066 0.260
F: 0.637 0.255 0.887
F: 0.834 0.891 0.298
F: 0.727 0.177 0.543
F: 0.334 0.609 0.798
Ag: 0.547 0.934 0.740
Ag: 0.047 0.566 0.240

Properties
density of states at the Fermi level: 0.00 states/eV/f.u.
E: -95.428 eV for the cell shown
E_form (uncorrected): -2471 meV/atom
offset from the most stable computed form: 32 meV per atom

Entry 2:
ZrAg3F7: optimized geometry, PBE-GGA.

Cell lengths 5.619, 5.619, 6.430 Å; angles 69.34, 69.34, 92.53 degrees
Fractional coordinates of all 11 atoms:
Ag: 0.279 0.707 0.537
F: 0.946 0.317 0.794
F: 0.668 0.053 0.281
F: 0.185 0.185 0.102
F: 0.053 0.668 0.281
Zr: 0.949 0.949 0.035
F: 0.317 0.946 0.794
Ag: 0.707 0.279 0.537
F: 0.870 0.870 0.763
F: 0.630 0.630 0.214
Ag: 0.520 0.520 0.911

Properties
density of states at the Fermi level: 0.00 states/eV/f.u.
E: -54.720 eV for the cell shown
E_form (uncorrected): -2229 meV/atom

Entry 3:
ZrAg2F8: optimized geometry, PBE-GGA.

Cell lengths 3.631, 5.290, 8.175 Å; angles 104.23, 102.83, 90.00 degrees
Each line ends with the local moment (μB).
Fractional coordinates of all 11 atoms:
Ag: 0.834 0.391 0.668  0.55
Ag: 0.166 0.609 0.332  0.55
F: 0.007 0.783 0.014  0.01
F: 0.248 0.300 0.496  0.28
F: 0.752 0.700 0.504  0.28
F: 0.621 0.934 0.241  0.02
Zr: 0.500 0.000 0.000  0.00
F: 0.408 0.603 0.816  0.13
F: 0.592 0.397 0.184  0.13
F: 0.379 0.066 0.759  0.02
F: 0.993 0.217 0.986  0.01

Properties
density of states at the Fermi level: 4.36 states/eV/f.u.
E: -52.736 eV for the cell shown
E_form (uncorrected): -2138 meV/atom
offset from the most stable computed form: 71 meV per atom

Entry 4:
ZrAg2F: optimized geometry, PBE-GGA.

Cell lengths 4.688, 4.688, 4.688 Å; angles 60.00, 60.00, 60.00 degrees
Fractional coordinates of all 4 atoms:
F: 0.000 0.000 0.000
Ag: 0.250 0.250 0.250
Ag: 0.750 0.750 0.750
Zr: 0.500 0.500 0.500

Properties
density of states at the Fermi level: 3.57 states/eV/f.u.
E: -16.648 eV for the cell shown
E_form (uncorrected): -132 meV/atom
offset from the most stable computed form: 336 meV per atom

Entry 5:
Zr3AgF: optimized geometry, PBE-GGA.

Cell lengths 4.549, 4.549, 4.549 Å; angles 90.00, 90.00, 90.00 degrees
Fractional coordinates of all 5 atoms:
Ag: 0.500 0.500 0.500
Zr: 0.000 0.000 0.500
F: 0.000 0.000 0.000
Zr: 0.000 0.500 0.000
Zr: 0.500 0.000 0.000

Properties
density of states at the Fermi level: 7.66 states/eV/f.u.
E: -32.759 eV for the cell shown
E_form (uncorrected): -478 meV/atom
offset from the most stable computed form: 0 meV per atom

Entry 6:
Zr3AgF: optimized geometry, PBE-GGA.

Cell lengths 5.210, 5.210, 5.210 Å; angles 90.00, 90.00, 90.00 degrees
Each line ends with the local moment (μB).
Fractional coordinates of all 5 atoms:
Zr: 0.500 0.000 0.000  0.59
Zr: 0.000 0.500 0.000  0.35
Ag: 0.000 0.000 0.000  0.01
F: 0.500 0.500 0.500  0.01
Zr: 0.000 0.000 0.500  0.28

Properties
density of states at the Fermi level: 2.73 states/eV/f.u.
E: -26.141 eV for the cell shown
E_form (uncorrected): 845 meV/atom
offset from the most stable computed form: 1324 meV per atom

Entry 7:
ZrAg2F6: optimized geometry, PBE-GGA.

Cell lengths 5.413, 5.413, 10.906 Å; angles 90.00, 90.00, 90.00 degrees
Fractional coordinates of all 18 atoms:
F: 0.767 0.233 0.000
Zr: 0.000 0.000 0.500
F: 0.684 0.684 0.863
F: 0.684 0.684 0.137
Zr: 0.500 0.500 0.000
F: 0.816 0.184 0.637
F: 0.184 0.816 0.363
F: 0.816 0.184 0.363
F: 0.316 0.316 0.137
Ag: 0.000 0.000 0.162
F: 0.733 0.733 0.500
Ag: 0.500 0.500 0.662
Ag: 0.000 0.000 0.838
F: 0.316 0.316 0.863
Ag: 0.500 0.500 0.338
F: 0.267 0.267 0.500
F: 0.184 0.816 0.637
F: 0.233 0.767 0.000

Properties
density of states at the Fermi level: 0.00 states/eV/f.u.
E: -96.001 eV for the cell shown
E_form (uncorrected): -2502 meV/atom
offset from the most stable computed form: 0 meV per atom

Entry 8:
Zr2AgF2: optimized geometry, PBE-GGA.

Cell lengths 3.460, 3.460, 7.029 Å; angles 75.75, 75.75, 90.00 degrees
Each line ends with the local moment (μB).
Fractional coordinates of all 5 atoms:
F: 0.250 0.750 0.500  0.00
Zr: 0.373 0.373 0.255  0.31
Zr: 0.627 0.627 0.745  0.31
F: 0.750 0.250 0.500  0.00
Ag: 0.000 0.000 0.000  0.04

Properties
density of states at the Fermi level: 3.65 states/eV/f.u.
E: -31.883 eV for the cell shown
E_form (uncorrected): -1639 meV/atom
offset from the most stable computed form: 0 meV per atom

Entry 9:
ZrAg2F: optimized geometry, PBE-GGA.

Cell lengths 7.691, 7.691, 5.973 Å; angles 49.92, 49.92, 90.00 degrees
Each line ends with the local moment (μB).
Fractional coordinates of all 8 atoms:
Ag: 0.875 0.828 0.750  0.03
Zr: 0.000 0.000 0.000  0.47
F: 0.500 0.500 0.000  0.02
Zr: 0.750 0.250 0.500  0.45
Ag: 0.375 0.422 0.750  0.03
Ag: 0.578 0.125 0.250  0.03
Ag: 0.172 0.625 0.250  0.03
F: 0.250 0.750 0.500  0.02

Properties
density of states at the Fermi level: 1.41 states/eV/f.u.
E: -35.981 eV for the cell shown
E_form (uncorrected): -467 meV/atom
offset from the most stable computed form: 0 meV per atom

Entry 10:
FeAg: optimized geometry, PBE-GGA.

Cell lengths 2.782, 6.132, 7.455 Å; angles 90.00, 90.00, 90.00 degrees
Each line ends with the local moment (μB).
Fractional coordinates of all 8 atoms:
Ag: 0.250 0.456 0.677  0.03
Ag: 0.750 0.544 0.323  0.03
Fe: 0.250 0.850 0.517  2.73
Ag: 0.250 0.044 0.177  0.03
Ag: 0.750 0.956 0.823  0.03
Fe: 0.750 0.350 0.983  2.73
Fe: 0.250 0.650 0.017  2.73
Fe: 0.750 0.150 0.483  2.73

Properties
density of states at the Fermi level: 1.56 states/eV/f.u.
E: -41.460 eV for the cell shown

Entry 11:
FeAg: optimized geometry, PBE-GGA.

Cell lengths 8.046, 13.885, 4.647 Å; angles 90.00, 90.00, 90.00 degrees
Each line ends with the local moment (μB).
Fractional coordinates of all 32 atoms:
Fe: 0.250 0.331 0.750  2.71
Fe: 0.000 0.919 0.000  2.71
Fe: 0.000 0.419 0.500  2.71
Ag: 0.335 0.000 0.000  0.03
Ag: 0.335 0.500 0.500  0.03
Ag: 0.665 0.500 0.500  0.03
Fe: 0.500 0.081 0.500  2.71
Fe: 0.750 0.831 0.750  2.71
Ag: 0.165 0.000 0.500  0.03
Ag: 0.085 0.250 0.250  0.03
Ag: 0.665 0.000 0.000  0.03
Ag: 0.915 0.750 0.250  0.03
Ag: 0.915 0.250 0.750  0.03
Fe: 0.500 0.419 0.000  2.71
Ag: 0.585 0.750 0.250  0.03
Fe: 0.500 0.581 0.000  2.71
Ag: 0.835 0.000 0.500  0.03
Ag: 0.835 0.500 0.000  0.03
Fe: 0.250 0.831 0.250  2.71
Fe: 0.750 0.669 0.750  2.71
Ag: 0.415 0.250 0.250  0.03
Fe: 0.750 0.331 0.250  2.71
Ag: 0.415 0.750 0.750  0.03
Fe: 0.000 0.081 0.000  2.71
Fe: 0.500 0.919 0.500  2.71
Ag: 0.085 0.750 0.750  0.03
Ag: 0.585 0.250 0.750  0.03
Fe: 0.000 0.581 0.500  2.71
Fe: 0.250 0.669 0.250  2.71
Fe: 0.250 0.169 0.750  2.71
Fe: 0.750 0.169 0.250  2.71
Ag: 0.165 0.500 0.000  0.03

Properties
density of states at the Fermi level: 1.79 states/eV/f.u.
E: -162.155 eV for the cell shown

Entry 12:
FeAg: optimized geometry, PBE-GGA.

Cell lengths 2.719, 2.719, 8.663 Å; angles 90.00, 90.00, 109.20 degrees
Each line ends with the local moment (μB).
Fractional coordinates of all 4 atoms:
Ag: 0.000 0.000 0.016  0.01
Fe: 0.500 0.500 0.274  2.73
Ag: 0.500 0.500 0.734  0.01
Fe: 0.000 0.000 0.476  2.73

Properties
density of states at the Fermi level: 1.43 states/eV/f.u.
E: -21.605 eV for the cell shown